{
  "formula": "Si2NiClO",
  "functional": "GGA+U",
  "state": "optimized geometry",
  "final_energy_ev_per_atom": -3.2631,
  "sg": "P4/mmm",
  "dos_at_fermi_per_ev_cell": 2.256,
  "lattice": [[4.402, 0.000, 0.000], [0.000, 4.402, 0.000], [0.000, 0.000, 4.275]],
  "species": ["Si", "Si", "Ni", "Cl", "O"],
  "fractional_positions": [[0.000, 0.500, 0.000], [0.500, 0.000, 0.000], [0.000, 0.000, 0.000], [0.000, 0.000, 0.500], [0.500, 0.500, 0.500]]
}